[1]
# HfTaAlNi (PBE-GGA, relaxed)
# M_tot, μB per cell: 1.83
# E above lowest polymorph, meV/atom: 0
# VASP energy, eV for the cell shown: -30.8
data_HfTaAlNi
_chemical_formula_sum 'Hf1 Ta1 Al1 Ni1'
_cell_length_a 4.549
_cell_length_b 4.549
_cell_length_c 4.549
_cell_angle_alpha 60.00
_cell_angle_beta 60.00
_cell_angle_gamma 60.00
_space_group_name_H-M_alt 'P 1'
_space_group_IT_number 1
_space_group_name_Hall 'P 1'
loop_
_atom_site_label
_atom_site_type_symbol
_atom_site_fract_x
_atom_site_fract_y
_atom_site_fract_z
Al1 Al 0.000 0.000 0.000
Ta1 Ta 0.250 0.250 0.250
Ni1 Ni 0.750 0.750 0.750
Hf1 Hf 0.500 0.500 0.500

---

[2]
# TbHfAl4Ni2 (PBE-GGA, relaxed)
# M_tot, μB per cell: 0.00
# VASP energy, eV for the cell shown: -45.5
data_TbHfAl4Ni2
_chemical_formula_sum 'Tb1 Hf1 Al4 Ni2'
_cell_length_a 6.674
_cell_length_b 5.281
_cell_length_c 5.281
_cell_angle_alpha 45.51
_cell_angle_beta 90.00
_cell_angle_gamma 90.00
_space_group_name_H-M_alt 'P 1'
_space_group_IT_number 1
_space_group_name_Hall 'P 1'
loop_
_atom_site_label
_atom_site_type_symbol
_atom_site_fract_x
_atom_site_fract_y
_atom_site_fract_z
Al1 Al 0.807 0.853 0.853
Al2 Al 0.294 0.144 0.144
Ni1 Ni 0.000 0.292 0.292
Tb1 Tb 0.500 0.433 0.433
Hf1 Hf 0.000 0.567 0.567
Al3 Al 0.706 0.144 0.144
Al4 Al 0.193 0.853 0.853
Ni2 Ni 0.500 0.713 0.713

---

[3]
# TbHfAl2Ni4 (PBE-GGA, relaxed)
# M_tot, μB per cell: 0.00
# VASP energy, eV for the cell shown: -49.2
data_TbHfAl2Ni4
_chemical_formula_sum 'Tb1 Hf1 Al2 Ni4'
_cell_length_a 4.137
_cell_length_b 4.137
_cell_length_c 8.367
_cell_angle_alpha 90.00
_cell_angle_beta 90.00
_cell_angle_gamma 120.00
_space_group_name_H-M_alt 'P 1'
_space_group_IT_number 1
_space_group_name_Hall 'P 1'
loop_
_atom_site_label
_atom_site_type_symbol
_atom_site_fract_x
_atom_site_fract_y
_atom_site_fract_z
Ni1 Ni 0.333 0.667 0.843
Al1 Al 0.667 0.333 0.233
Ni2 Ni 0.333 0.667 0.157
Tb1 Tb 0.333 0.667 0.500
Al2 Al 0.667 0.333 0.767
Hf1 Hf 0.000 0.000 0.000
Ni3 Ni 0.000 0.000 0.310
Ni4 Ni 0.000 0.000 0.690

---

[4]
# HfAlNiW (PBE-GGA, relaxed)
# M_tot, μB per cell: 0.37
# VASP energy, eV for the cell shown: -31.1
data_HfAlNiW
_chemical_formula_sum 'Hf1 Al1 Ni1 W1'
_cell_length_a 4.497
_cell_length_b 4.497
_cell_length_c 4.497
_cell_angle_alpha 60.00
_cell_angle_beta 60.00
_cell_angle_gamma 60.00
_space_group_name_H-M_alt 'P 1'
_space_group_IT_number 1
_space_group_name_Hall 'P 1'
loop_
_atom_site_label
_atom_site_type_symbol
_atom_site_fract_x
_atom_site_fract_y
_atom_site_fract_z
Al1 Al 0.000 0.000 0.000
Hf1 Hf 0.250 0.250 0.250
Ni1 Ni 0.750 0.750 0.750
W1 W 0.500 0.500 0.500

---

[5]
# YHfAl4Ni2 (PBE-GGA, relaxed)
# M_tot, μB per cell: 0.00
# VASP energy, eV for the cell shown: -47.4
data_YHfAl4Ni2
_chemical_formula_sum 'Y1 Hf1 Al4 Ni2'
_cell_length_a 6.666
_cell_length_b 5.271
_cell_length_c 5.271
_cell_angle_alpha 45.45
_cell_angle_beta 90.00
_cell_angle_gamma 90.00
_space_group_name_H-M_alt 'P 1'
_space_group_IT_number 1
_space_group_name_Hall 'P 1'
loop_
_atom_site_label
_atom_site_type_symbol
_atom_site_fract_x
_atom_site_fract_y
_atom_site_fract_z
Al1 Al 0.705 0.145 0.145
Y1 Y 0.500 0.434 0.434
Al2 Al 0.193 0.852 0.852
Al3 Al 0.295 0.145 0.145
Hf1 Hf 0.000 0.566 0.566
Al4 Al 0.807 0.852 0.852
Ni1 Ni 0.000 0.292 0.292
Ni2 Ni 0.500 0.714 0.714

---

[6]
# YHfAlNi (PBE-GGA, relaxed)
# M_tot, μB per cell: 1.84
# VASP energy, eV for the cell shown: -25.2
data_YHfAlNi
_chemical_formula_sum 'Y1 Hf1 Al1 Ni1'
_cell_length_a 4.789
_cell_length_b 4.789
_cell_length_c 4.789
_cell_angle_alpha 60.00
_cell_angle_beta 60.00
_cell_angle_gamma 60.00
_space_group_name_H-M_alt 'P 1'
_space_group_IT_number 1
_space_group_name_Hall 'P 1'
loop_
_atom_site_label
_atom_site_type_symbol
_atom_site_fract_x
_atom_site_fract_y
_atom_site_fract_z
Ni1 Ni 0.750 0.750 0.750
Hf1 Hf 0.250 0.250 0.250
Al1 Al 0.000 0.000 0.000
Y1 Y 0.500 0.500 0.500